[1]
BiOF2: relaxed, GGA-PBEsol.

Cell and atoms, written as POSCAR:
```
BiOF2
1.0
-0.909 2.480 3.054
1.278 -0.845 3.736
2.889 2.249 1.703
Bi O F
1 1 2
Direct
0.500 0.500 0.500
0.000 0.000 0.000
0.250 0.250 0.250
0.750 0.750 0.750
```

Results
* uncorrected formation energy: -1.253 eV per atom
* symmetry: Fm-3m (225)


[2]
Co2B4Mo: relaxed, GGA-PBEsol.

Cell and atoms, written as POSCAR:
```
Co2B4Mo
1.0
3.007 0.000 0.000
0.000 3.028 0.000
-1.503 -1.514 6.174
Mo B Co
1 4 2
Direct
0.500 0.000 0.000
0.925 0.425 0.851
0.075 0.575 0.149
0.348 0.348 0.696
0.652 0.652 0.304
0.815 0.815 0.629
0.185 0.185 0.371
```

Results
* energy of formation from the pure elements: -3.4 eV/f.u.
* symmetry: Immm (71)


[3]
Hg2RhW: relaxed, GGA-PBEsol.

Cell and atoms, written as POSCAR:
```
Hg2RhW
1.0
-1.653 -1.820 1.392
2.069 -1.222 -1.487
5.693 0.544 7.471
Hg Rh W
2 1 1
Direct
0.000 0.000 0.259
0.000 0.000 0.741
0.500 0.500 0.500
0.500 0.500 0.000
```

Results
* energy of formation from the pure elements: 2.3 eV/f.u.
* ΔE to the lowest computed polymorph: 0.062 eV per atom
* symmetry: Cmmm (65)


[4]
Cu2SbAs: relaxed, GGA-PBEsol.

Cell and atoms, written as POSCAR:
```
Cu2SbAs
1.0
-0.449 1.040 -4.083
-3.829 -1.834 2.152
-3.071 2.730 1.033
As Cu Sb
1 2 1
Direct
0.000 0.000 0.000
0.250 0.500 0.250
0.750 0.500 0.750
0.500 0.000 0.500
```

Results
* ΔE to the lowest computed polymorph: 0.161 eV per atom
* uncorrected formation energy: 0.276 eV per atom
* symmetry: I4/mmm (139)


[5]
TlFeRu2: relaxed, GGA-PBEsol.

Cell and atoms, written as POSCAR:
```
TlFeRu2
1.0
4.278 0.000 0.000
0.000 4.278 0.000
0.000 0.000 3.255
Fe Ru Tl
1 2 1
Direct
0.000 0.000 0.500
0.000 0.500 0.000
0.500 0.000 0.000
0.500 0.500 0.500
```

Results
* energy of formation from the pure elements: 2.4 eV/f.u.
* ΔE to the lowest computed polymorph: 0.158 eV per atom
* symmetry: P4/mmm (123)


[6]
Ba2MoAu: relaxed, GGA-PBEsol.

Cell and atoms, written as POSCAR:
```
Ba2MoAu
1.0
-0.206 -3.157 4.328
3.813 -3.678 0.819
3.547 0.654 3.966
Au Ba Mo
1 2 1
Direct
0.500 0.500 0.500
0.000 0.000 0.000
0.750 0.750 0.750
0.250 0.250 0.250
```

Results
* energy of formation from the pure elements: 2.9 eV/f.u.
* ΔE to the lowest computed polymorph: 0.000 eV per atom
* symmetry: F-43m (216)


[7]
Ti2SiH6O9: relaxed, GGA-PBEsol.

Cell and atoms, written as POSCAR:
```
Ti2SiH6O9
1.0
-6.005 -6.423 6.571
8.924 -2.207 5.998
-2.377 9.366 6.983
Ti Si H O
16 8 48 72
Direct
0.849 0.023 0.850
0.349 0.477 0.850
0.651 0.523 0.850
0.151 0.977 0.850
0.523 0.349 0.650
0.023 0.151 0.650
0.977 0.849 0.650
0.477 0.651 0.650
0.523 0.349 0.350
0.023 0.151 0.350
0.977 0.849 0.350
0.477 0.651 0.350
0.849 0.023 0.150
0.349 0.477 0.150
0.651 0.523 0.150
0.151 0.977 0.150
0.784 0.284 0.750
0.716 0.784 0.750
0.284 0.216 0.750
0.216 0.716 0.750
0.784 0.284 0.250
0.716 0.784 0.250
0.284 0.216 0.250
0.216 0.716 0.250
0.529 0.319 0.887
0.029 0.181 0.887
0.971 0.819 0.887
0.929 0.480 0.843
0.571 0.980 0.843
0.471 0.681 0.887
0.429 0.020 0.843
0.071 0.520 0.843
0.520 0.929 0.657
0.980 0.429 0.657
0.020 0.571 0.657
0.480 0.071 0.657
0.819 0.029 0.613
0.319 0.471 0.613
0.681 0.529 0.613
0.181 0.971 0.613
0.719 0.146 0.500
0.644 0.026 0.500
0.144 0.474 0.500
0.219 0.354 0.500
0.781 0.646 0.500
0.856 0.526 0.500
0.356 0.974 0.500
0.281 0.854 0.500
0.819 0.029 0.387
0.319 0.471 0.387
0.681 0.529 0.387
0.181 0.971 0.387
0.520 0.929 0.343
0.980 0.429 0.343
0.020 0.571 0.343
0.480 0.071 0.343
0.929 0.480 0.157
0.571 0.980 0.157
0.529 0.319 0.113
0.429 0.020 0.157
0.071 0.520 0.157
0.029 0.181 0.113
0.971 0.819 0.113
0.471 0.681 0.113
0.526 0.144 0.000
0.646 0.219 0.000
0.026 0.356 0.000
0.146 0.281 0.000
0.854 0.719 0.000
0.974 0.644 0.000
0.354 0.781 0.000
0.474 0.856 0.000
0.500 0.000 0.890
0.000 0.500 0.890
0.519 0.387 0.830
0.774 0.172 0.839
0.776 0.415 0.816
0.274 0.328 0.839
0.726 0.672 0.839
0.019 0.113 0.830
0.724 0.915 0.816
0.981 0.887 0.830
0.226 0.828 0.839
0.276 0.085 0.816
0.481 0.613 0.830
0.224 0.585 0.816
0.915 0.276 0.684
0.585 0.776 0.684
0.672 0.274 0.661
0.887 0.019 0.670
0.415 0.224 0.684
0.387 0.481 0.670
0.613 0.519 0.670
0.085 0.724 0.684
0.113 0.981 0.670
0.172 0.226 0.661
0.828 0.774 0.661
0.328 0.726 0.661
0.500 0.000 0.610
0.000 0.500 0.610
0.508 0.358 0.500
0.730 0.057 0.500
0.008 0.142 0.500
0.992 0.858 0.500
0.770 0.557 0.500
0.270 0.943 0.500
0.230 0.443 0.500
0.492 0.642 0.500
0.500 0.000 0.390
0.000 0.500 0.390
0.672 0.274 0.339
0.172 0.226 0.339
0.828 0.774 0.339
0.887 0.019 0.330
0.915 0.276 0.316
0.387 0.481 0.330
0.613 0.519 0.330
0.585 0.776 0.316
0.113 0.981 0.330
0.328 0.726 0.339
0.415 0.224 0.316
0.085 0.724 0.316
0.776 0.415 0.184
0.519 0.387 0.170
0.724 0.915 0.184
0.774 0.172 0.161
0.019 0.113 0.170
0.276 0.085 0.184
0.981 0.887 0.170
0.274 0.328 0.161
0.726 0.672 0.161
0.224 0.585 0.184
0.226 0.828 0.161
0.481 0.613 0.170
0.500 0.000 0.110
0.000 0.500 0.110
0.557 0.230 0.000
0.443 0.770 0.000
0.057 0.270 0.000
0.858 0.008 0.000
0.358 0.492 0.000
0.642 0.508 0.000
0.142 0.992 0.000
0.943 0.730 0.000
```

Results
* electronic total energy: -6.9572 eV/atom
* symmetry: P4_2/mbc (135)


[8]
RbNbCl2: relaxed, GGA-PBEsol.

Cell and atoms, written as POSCAR:
```
RbNbCl2
1.0
-1.538 2.976 0.180
-3.076 0.379 -1.284
-5.332 -1.348 7.994
Nb Rb Cl
1 1 2
Direct
0.000 0.000 0.000
0.500 0.500 0.500
0.916 0.916 0.253
0.084 0.084 0.747
```

Results
* ΔE to the lowest computed polymorph: 0.000 eV per atom
* uncorrected formation energy: -0.531 eV per atom
* symmetry: R-3m (166)


Values for total moment, μB/atom, ordered as above
0.250, 0.000, 0.000, 0.000, 0.915, 0.813, 0.001, 0.001
Values for calculated volume, Å³/cell, ordered as above
47, 56, 69, 66, 60, 109, 1436, 93